#P
# SbMoCI2 PBE relaxed
# **Calculated volume**: 23.72 Å³ per atom
data_SbMoCI2
_chemical_formula_sum 'Sb1 Mo1 C1 I2'
_space_group_name_H-M_alt 'P 4/m m m'
_space_group_IT_number 123
_space_group_name_Hall '-P 4 2'
_cell_length_a 4.991
_cell_length_b 4.991
_cell_length_c 4.760
_cell_angle_alpha 90.00
_cell_angle_beta 90.00
_cell_angle_gamma 90.00
loop_
_atom_site_label
_atom_site_type_symbol
_atom_site_fract_x
_atom_site_fract_y
_atom_site_fract_z
_atom_site_occupancy
Sb1 Sb 0.000 0.000 0.000 1
Mo1 Mo 0.500 0.500 0.000 1
C1 C 0.000 0.000 0.500 1
I1 I 0.000 0.500 0.500 1

=====

#Q
# SbMoCI2 PBE relaxed
# **Calculated volume**: 31.78 Å³ per atom
data_SbMoCI2
_chemical_formula_sum 'Sb1 Mo1 C1 I2'
_space_group_name_H-M_alt 'P 4/m m m'
_space_group_IT_number 123
_space_group_name_Hall '-P 4 2'
_cell_length_a 5.484
_cell_length_b 5.484
_cell_length_c 5.284
_cell_angle_alpha 90.00
_cell_angle_beta 90.00
_cell_angle_gamma 90.00
loop_
_atom_site_label
_atom_site_type_symbol
_atom_site_fract_x
_atom_site_fract_y
_atom_site_fract_z
_atom_site_occupancy
Sb1 Sb 0.000 0.000 0.000 1
Mo1 Mo 0.000 0.000 0.500 1
C1 C 0.500 0.500 0.000 1
I1 I 0.000 0.500 0.500 1

=====

Which of them is the most stable, and which is the least stable? #P and #Q, in that order.

=====

#P
# TeMoCI2 PBE relaxed
# **Calculated volume**: 33.13 Å³ per atom
data_TeMoCI2
_chemical_formula_sum 'Te1 Mo1 C1 I2'
_space_group_name_H-M_alt 'P 4/m m m'
_space_group_IT_number 123
_space_group_name_Hall '-P 4 2'
_cell_length_a 5.623
_cell_length_b 5.623
_cell_length_c 5.239
_cell_angle_alpha 90.00
_cell_angle_beta 90.00
_cell_angle_gamma 90.00
loop_
_atom_site_label
_atom_site_type_symbol
_atom_site_fract_x
_atom_site_fract_y
_atom_site_fract_z
_atom_site_occupancy
Te1 Te 0.000 0.000 0.000 1
Mo1 Mo 0.000 0.000 0.500 1
C1 C 0.500 0.500 0.000 1
I1 I 0.000 0.500 0.500 1

=====

#Q
# TeMoCI2 PBE relaxed
# **Calculated volume**: 21.61 Å³ per atom
data_TeMoCI2
_chemical_formula_sum 'Te1 Mo1 C1 I2'
_space_group_name_H-M_alt 'P 4/m m m'
_space_group_IT_number 123
_space_group_name_Hall '-P 4 2'
_cell_length_a 4.795
_cell_length_b 4.795
_cell_length_c 4.700
_cell_angle_alpha 90.00
_cell_angle_beta 90.00
_cell_angle_gamma 90.00
loop_
_atom_site_label
_atom_site_type_symbol
_atom_site_fract_x
_atom_site_fract_y
_atom_site_fract_z
_atom_site_occupancy
Te1 Te 0.000 0.000 0.000 1
Mo1 Mo 0.500 0.500 0.000 1
C1 C 0.000 0.000 0.500 1
I1 I 0.000 0.500 0.500 1

=====

Which of them is the most stable, and which is the least stable? #P and #Q, in that order.

=====

#P
# NbCIN2 PBE relaxed
# **Calculated volume**: 19.25 Å³ per atom
data_NbCIN2
_chemical_formula_sum 'Nb1 C1 I1 N2'
_space_group_name_H-M_alt 'P 4/m m m'
_space_group_IT_number 123
_space_group_name_Hall '-P 4 2'
_cell_length_a 3.961
_cell_length_b 3.961
_cell_length_c 6.134
_cell_angle_alpha 90.00
_cell_angle_beta 90.00
_cell_angle_gamma 90.00
loop_
_atom_site_label
_atom_site_type_symbol
_atom_site_fract_x
_atom_site_fract_y
_atom_site_fract_z
_atom_site_occupancy
Nb1 Nb 0.000 0.000 0.000 1
C1 C 0.500 0.500 0.500 1
I1 I 0.000 0.000 0.500 1
N1 N 0.000 0.500 0.000 1

=====

#Q
# NbCIN2 PBE relaxed
# **Calculated volume**: 12.80 Å³ per atom
data_NbCIN2
_chemical_formula_sum 'Nb1 C1 I1 N2'
_space_group_name_H-M_alt 'P 4/m m m'
_space_group_IT_number 123
_space_group_name_Hall '-P 4 2'
_cell_length_a 3.923
_cell_length_b 3.923
_cell_length_c 4.158
_cell_angle_alpha 90.00
_cell_angle_beta 90.00
_cell_angle_gamma 90.00
loop_
_atom_site_label
_atom_site_type_symbol
_atom_site_fract_x
_atom_site_fract_y
_atom_site_fract_z
_atom_site_occupancy
Nb1 Nb 0.000 0.000 0.000 1
C1 C 0.500 0.500 0.500 1
I1 I 0.500 0.500 0.000 1
N1 N 0.000 0.500 0.500 1

=====

Which of them is the most stable, and which is the least stable? #P and #Q, in that order.

=====

#P
# NiCIN2 PBE relaxed
# **Calculated volume**: 19.78 Å³ per atom
data_NiCIN2
_chemical_formula_sum 'Ni1 C1 I1 N2'
_space_group_name_H-M_alt 'P 4/m m m'
_space_group_IT_number 123
_space_group_name_Hall '-P 4 2'
_cell_length_a 3.494
_cell_length_b 3.494
_cell_length_c 8.104
_cell_angle_alpha 90.00
_cell_angle_beta 90.00
_cell_angle_gamma 90.00
loop_
_atom_site_label
_atom_site_type_symbol
_atom_site_fract_x
_atom_site_fract_y
_atom_site_fract_z
_atom_site_occupancy
Ni1 Ni 0.000 0.000 0.000 1
C1 C 0.500 0.500 0.500 1
I1 I 0.000 0.000 0.500 1
N1 N 0.000 0.500 0.000 1

=====

#Q
# NiCIN2 PBE relaxed
# **Calculated volume**: 16.63 Å³ per atom
data_NiCIN2
_chemical_formula_sum 'Ni1 C1 I1 N2'
_space_group_name_H-M_alt 'P 4/m m m'
_space_group_IT_number 123
_space_group_name_Hall '-P 4 2'
_cell_length_a 3.327
_cell_length_b 3.327
_cell_length_c 7.514
_cell_angle_alpha 90.00
_cell_angle_beta 90.00
_cell_angle_gamma 90.00
loop_
_atom_site_label
_atom_site_type_symbol
_atom_site_fract_x
_atom_site_fract_y
_atom_site_fract_z
_atom_site_occupancy
Ni1 Ni 0.000 0.000 0.000 1
C1 C 0.500 0.500 0.500 1
I1 I 0.500 0.500 0.000 1
N1 N 0.000 0.500 0.500 1

=====

Which of them is the most stable, and which is the least stable? #P and #Q, in that order.

=====

#P
# NiCI2N PBE relaxed
# **Calculated volume**: 20.35 Å³ per atom
data_NiCI2N
_chemical_formula_sum 'Ni1 C1 I2 N1'
_space_group_name_H-M_alt 'P 4/m m m'
_space_group_IT_number 123
_space_group_name_Hall '-P 4 2'
_cell_length_a 5.420
_cell_length_b 5.420
_cell_length_c 3.464
_cell_angle_alpha 90.00
_cell_angle_beta 90.00
_cell_angle_gamma 90.00
loop_
_atom_site_label
_atom_site_type_symbol
_atom_site_fract_x
_atom_site_fract_y
_atom_site_fract_z
_atom_site_occupancy
Ni1 Ni 0.000 0.000 0.000 1
C1 C 0.500 0.500 0.500 1
I1 I 0.000 0.500 0.000 1
N1 N 0.000 0.000 0.500 1

=====

#Q
# NiCI2N PBE relaxed
# **Calculated volume**: 21.19 Å³ per atom
data_NiCI2N
_chemical_formula_sum 'Ni1 C1 I2 N1'
_space_group_name_H-M_alt 'P 4/m m m'
_space_group_IT_number 123
_space_group_name_Hall '-P 4 2'
_cell_length_a 6.303
_cell_length_b 6.303
_cell_length_c 2.667
_cell_angle_alpha 90.00
_cell_angle_beta 90.00
_cell_angle_gamma 90.00
loop_
_atom_site_label
_atom_site_type_symbol
_atom_site_fract_x
_atom_site_fract_y
_atom_site_fract_z
_atom_site_occupancy
Ni1 Ni 0.000 0.000 0.000 1
C1 C 0.500 0.500 0.500 1
I1 I 0.000 0.500 0.500 1
N1 N 0.500 0.500 0.000 1

=====

Which of them is the most stable, and which is the least stable? #Q and #P, in that order.

=====

#P
# OsCI2N PBE relaxed
# **Calculated volume**: 22.50 Å³ per atom
data_OsCI2N
_chemical_formula_sum 'Os1 C1 I2 N1'
_space_group_name_H-M_alt 'P 4/m m m'
_space_group_IT_number 123
_space_group_name_Hall '-P 4 2'
_cell_length_a 5.501
_cell_length_b 5.501
_cell_length_c 3.717
_cell_angle_alpha 90.00
_cell_angle_beta 90.00
_cell_angle_gamma 90.00
loop_
_atom_site_label
_atom_site_type_symbol
_atom_site_fract_x
_atom_site_fract_y
_atom_site_fract_z
_atom_site_occupancy
Os1 Os 0.000 0.000 0.000 1
C1 C 0.500 0.500 0.500 1
I1 I 0.000 0.500 0.000 1
N1 N 0.000 0.000 0.500 1

=====

#Q
# OsCI2N PBE relaxed
# **Calculated volume**: 20.46 Å³ per atom
data_OsCI2N
_chemical_formula_sum 'Os1 C1 I2 N1'
_space_group_name_H-M_alt 'P 4/m m m'
_space_group_IT_number 123
_space_group_name_Hall '-P 4 2'
_cell_length_a 6.237
_cell_length_b 6.237
_cell_length_c 2.630
_cell_angle_alpha 90.00
_cell_angle_beta 90.00
_cell_angle_gamma 90.00
loop_
_atom_site_label
_atom_site_type_symbol
_atom_site_fract_x
_atom_site_fract_y
_atom_site_fract_z
_atom_site_occupancy
Os1 Os 0.000 0.000 0.000 1
C1 C 0.500 0.500 0.500 1
I1 I 0.000 0.500 0.500 1
N1 N 0.500 0.500 0.000 1

=====

Which of them is the most stable, and which is the least stable? #P and #Q, in that order.